Here is a relaxed Zr3Pd crystal from the Open Quantum Materials Database. Energies are from PBE-GGA.

Structure (POSCAR):
```
Zr3Pd
1.0
-1.008 -0.092 6.029
-2.854 -4.000 -3.638
3.855 -3.291 0.594
Zr Pd
6 2
Cartesian
-0.853 -4.435 2.889
-1.455 -2.024 -1.771
0.623 -2.367 4.770
-1.941 -2.068 1.141
-3.319 -4.000 -0.616
1.144 -2.319 1.653
-0.311 -4.343 -0.118
0.000 0.000 0.000
```

Values from the calculation:
Its space-group type is P6_3/mmc, No. 194. The volume is 20.65 Å³ per atom. For the formation energy from the elements, the calculation gives -177 meV per atom. The total moment comes out at 0.01 μB per formula unit.

Here is a relaxed ZrPd2 crystal from the Open Quantum Materials Database. Energies are from PBE-GGA.

Structure (POSCAR):
```
ZrPd2
1.0
0.100 0.420 3.427
-2.850 1.944 -0.156
-1.079 -4.739 -1.128
Pd Zr
2 1
Cartesian
-1.657 -2.402 0.343
-2.172 0.028 1.800
0.000 0.000 0.000
```

Values from the calculation:
Its space-group type is I4/mmm, No. 139. The volume is 17.30 Å³ per atom. For the formation energy from the elements, the calculation gives -759 meV per atom. The total moment comes out at 0.00 μB per formula unit.